A plane-wave DFT calculation with PBE-GGA was carried out for a geometry-optimized CaTb2Pb structure.

Cell lengths 6.8659, 6.8659, 6.8659 Å; angles 44.52, 44.52, 44.52 degrees
Last column: nearest neighbours and their distance in Å.
Fractional coordinates of all 4 atoms:
Ca  0.0000  0.0000  0.0000  1 Pb 3.44, 6 Tb 3.56-3.71
Tb  0.2153  0.2153  0.2153  3 Pb 3.26
Tb  0.4365  0.4365  0.4365  3 Pb 3.11
Pb  0.8142  0.8142  0.8142  6 Tb 3.11-3.26, 1 Ca 3.44

## Properties
- symmetry = R3m, No. 160
- E above lowest polymorph (eV/atom) = 0.249

***

A plane-wave DFT calculation with PBE-GGA was carried out for a geometry-optimized CaTb4Pb4 structure.

Cell lengths 10.1611, 10.1611, 6.2421 Å; angles 90.00, 90.00, 90.00 degrees
Last column: nearest neighbours and their distance in Å.
Fractional coordinates of all 18 atoms:
Ca  0.2500  0.2500  0.2500  4 Pb 3.35
Ca  0.7500  0.7500  0.7500  4 Pb 3.35
Tb  0.1039  0.6422  0.1489  5 Pb 3.10-3.29
Tb  0.1422  0.8961  0.6489  5 Pb 3.10-3.29
Tb  0.3578  0.6039  0.6489  5 Pb 3.10-3.29
Tb  0.3961  0.8578  0.1489  5 Pb 3.10-3.29
Tb  0.6039  0.1422  0.8511  5 Pb 3.10-3.29
Tb  0.6422  0.3961  0.3511  5 Pb 3.10-3.29
Tb  0.8578  0.1039  0.3511  5 Pb 3.10-3.29
Tb  0.8961  0.3578  0.8511  5 Pb 3.10-3.29
Pb  0.0425  0.6076  0.6625  5 Tb 3.10-3.29, 1 Pb 3.11, 1 Ca 3.35
Pb  0.1076  0.9575  0.1625  5 Tb 3.10-3.29, 1 Pb 3.11, 1 Ca 3.35
Pb  0.3924  0.5425  0.1625  5 Tb 3.10-3.29, 1 Pb 3.11, 1 Ca 3.35
Pb  0.4575  0.8924  0.6625  5 Tb 3.10-3.29, 1 Pb 3.11, 1 Ca 3.35
Pb  0.5425  0.1076  0.3375  5 Tb 3.10-3.29, 1 Pb 3.11, 1 Ca 3.35
Pb  0.6076  0.4575  0.8375  5 Tb 3.10-3.29, 1 Pb 3.11, 1 Ca 3.35
Pb  0.8924  0.0425  0.8375  5 Tb 3.10-3.29, 1 Pb 3.11, 1 Ca 3.35
Pb  0.9575  0.3924  0.3375  5 Tb 3.10-3.29, 1 Pb 3.11, 1 Ca 3.35

## Properties
- symmetry = P4_2/n, No. 86

***

no.,formation energy from the elements (eV/atom),theoretical density (g/cm³)
1,0.00,6.49
2,-0.29,7.75